[1]
# GGA-PBE Ti6CuRh, optimized geometry
# - energy of formation (eV/f.u.) = -1.96
# - crystal system = tetragonal
# - total DFT energy (no corrections) (eV per atom) = -7.5968
data_Ti6CuRh
_chemical_formula_sum 'Ti6 Cu1 Rh1'
_cell_length_a 4.315
_cell_length_b 4.315
_cell_length_c 7.486
_cell_angle_alpha 73.25
_cell_angle_beta 73.25
_cell_angle_gamma 90.00
_symmetry_space_group_name_H-M 'P 1'
_symmetry_Int_Tables_number 1
loop_
_symmetry_equiv_pos_as_xyz
'x,y,z'
loop_
_atom_site_label
_atom_site_type_symbol
_atom_site_fract_x
_atom_site_fract_y
_atom_site_fract_z
_atom_site_occupancy
Ti1 Ti 0.383 0.883 0.234 1
Ti2 Ti 0.117 0.617 0.766 1
Ti3 Ti 0.750 0.750 0.500 1
Ti4 Ti 0.883 0.383 0.234 1
Ti5 Ti 0.617 0.117 0.766 1
Ti6 Ti 0.250 0.250 0.500 1
Cu1 Cu 0.000 0.000 0.000 1
Rh1 Rh 0.500 0.500 0.000 1

***

[2]
# GGA-PBE Ti7CuRh2, optimized geometry
# - energy of formation (eV/f.u.) = 7.76
# - crystal system = cubic
# - total DFT energy (no corrections) (eV per atom) = -6.6301
data_Ti7CuRh2
_chemical_formula_sum 'Ti7 Cu1 Rh2'
_cell_length_a 6.361
_cell_length_b 6.361
_cell_length_c 6.361
_cell_angle_alpha 60.00
_cell_angle_beta 60.00
_cell_angle_gamma 60.00
_symmetry_space_group_name_H-M 'P 1'
_symmetry_Int_Tables_number 1
loop_
_symmetry_equiv_pos_as_xyz
'x,y,z'
loop_
_atom_site_label
_atom_site_type_symbol
_atom_site_fract_x
_atom_site_fract_y
_atom_site_fract_z
_atom_site_occupancy
Ti1 Ti 0.500 0.500 0.500 1
Ti2 Ti 0.251 0.251 0.749 1
Ti3 Ti 0.749 0.251 0.251 1
Ti4 Ti 0.749 0.251 0.749 1
Ti5 Ti 0.749 0.749 0.251 1
Ti6 Ti 0.251 0.749 0.749 1
Ti7 Ti 0.251 0.749 0.251 1
Cu1 Cu 0.000 0.000 0.000 1
Rh1 Rh 0.750 0.750 0.750 1
Rh2 Rh 0.250 0.250 0.250 1

***

[3]
# GGA-PBE TiCu2Rh3, optimized geometry
# - energy of formation (eV/f.u.) = -1.96
# - crystal system = orthorhombic
# - total DFT energy (no corrections) (eV per atom) = -6.6828
data_TiCu2Rh3
_chemical_formula_sum 'Ti2 Cu4 Rh6'
_cell_length_a 4.294
_cell_length_b 6.790
_cell_length_c 5.954
_cell_angle_alpha 90.00
_cell_angle_beta 90.00
_cell_angle_gamma 71.57
_symmetry_space_group_name_H-M 'P 1'
_symmetry_Int_Tables_number 1
loop_
_symmetry_equiv_pos_as_xyz
'x,y,z'
loop_
_atom_site_label
_atom_site_type_symbol
_atom_site_fract_x
_atom_site_fract_y
_atom_site_fract_z
_atom_site_occupancy
Ti1 Ti 0.340 0.320 0.000 1
Ti2 Ti 0.660 0.680 0.000 1
Cu1 Cu 0.000 0.000 0.000 1
Cu2 Cu 0.331 0.338 0.500 1
Cu3 Cu 0.000 0.000 0.500 1
Cu4 Cu 0.669 0.662 0.500 1
Rh1 Rh 0.832 0.337 0.752 1
Rh2 Rh 0.169 0.663 0.752 1
Rh3 Rh 0.500 0.000 0.257 1
Rh4 Rh 0.500 0.000 0.743 1
Rh5 Rh 0.831 0.337 0.248 1
Rh6 Rh 0.168 0.663 0.248 1

***

[4]
# GGA-PBE Ti4CuRh, optimized geometry
# - energy of formation (eV/f.u.) = -2.13
# - crystal system = tetragonal
# - total DFT energy (no corrections) (eV per atom) = -7.5266
data_Ti4CuRh
_chemical_formula_sum 'Ti4 Cu1 Rh1'
_cell_length_a 3.024
_cell_length_b 3.024
_cell_length_c 10.203
_cell_angle_alpha 90.00
_cell_angle_beta 90.00
_cell_angle_gamma 90.00
_symmetry_space_group_name_H-M 'P 1'
_symmetry_Int_Tables_number 1
loop_
_symmetry_equiv_pos_as_xyz
'x,y,z'
loop_
_atom_site_label
_atom_site_type_symbol
_atom_site_fract_x
_atom_site_fract_y
_atom_site_fract_z
_atom_site_occupancy
Ti1 Ti 0.000 0.000 0.660 1
Ti2 Ti 0.000 0.000 0.340 1
Ti3 Ti 0.500 0.500 0.164 1
Ti4 Ti 0.500 0.500 0.836 1
Rh1 Rh 0.500 0.500 0.500 1
Cu1 Cu 0.000 0.000 0.000 1